DFT (PBE-GGA) results for crystalline Sm7Bi2C2 at its relaxed geometry.

Cell: 3.5502 9.8853 9.8853 Å, 61.18 79.66 79.66°
Closest atoms and distances in Å follow each position.
Fractional coordinates of all 11 atoms:
Sm1 0.8085 0.0897 0.2934  1 C 2.56
Sm2 0.3593 0.7303 0.5510  2 C 2.49
Bi1 0.5000 0.3456 0.6544  7 Sm 3.25-3.46, 2 Bi 3.55
Sm3 0.5000 0.0221 0.9779  3 Bi 3.24-3.25, 2 Sm 3.55
Sm4 0.1915 0.7066 0.9103  1 C 2.56
C1 0.7625 0.8924 0.5826  5 Sm 2.49-2.56
Bi2 0.0000 0.7523 0.2477  8 Sm 3.24-3.51, 2 Bi 3.55
C2 0.2375 0.4174 0.1076  5 Sm 2.49-2.56
Sm5 0.8375 0.3867 0.9383  2 C 2.53
Sm6 0.6407 0.4490 0.2697  2 C 2.49
Sm7 0.1625 0.0617 0.6133  2 C 2.53

Output
VASP energy in eV per cell: -62.1
Formation energy in eV/f.u.: -2.85